Entry from OQMD via LeMat-Bulk: a relaxed structure of LiSc2W (PBE-GGA).

a b c (Å): 4.694 4.694 4.694
angles (deg): 60.00 60.00 60.00
Fractional coordinates of all 4 atoms:
1 Li 0.000 0.000 0.000
2 Sc 0.500 0.500 0.500
3 Sc 0.750 0.750 0.750
4 W 0.250 0.250 0.250

Symmetry: F-43m, No. 216
Uncorrected energy: -25.28 eV per cell
ρ: 6.37 g/cm³